(1)
{
  "formula": "CrOs2Br",
  "functional": "GGA-PBE",
  "state": "optimized geometry",
  "e_form_raw_ev_per_atom": 0.84,
  "crystal_system": "orthorhombic",
  "relative_energy_mev_per_atom": 162.7,
  "lattice": [[2.6819, 0.0016, 0.0000], [-1.1986, 2.3991, 0.0000], [0.0000, 0.0000, 11.7122]],
  "species": ["Br", "Cr", "Os", "Os"],
  "fractional_positions": [[0.5000, 0.5000, 0.2500], [0.5000, 0.5000, 0.7500], [0.0000, 0.0000, 0.9245], [0.0000, 0.0000, 0.5755]]
}

(2)
{
  "formula": "Cr3OsBr",
  "functional": "GGA-PBE",
  "state": "optimized geometry",
  "e_form_raw_ev_per_atom": 1.16,
  "crystal_system": "cubic",
  "relative_energy_mev_per_atom": 0.0,
  "lattice": [[4.8194, 0.0000, 0.0000], [0.0000, 4.8194, 0.0000], [0.0000, 0.0000, 4.8194]],
  "species": ["Cr", "Cr", "Cr", "Os", "Br"],
  "fractional_positions": [[0.0000, 0.5000, 0.0000], [0.0000, 0.0000, 0.5000], [0.5000, 0.0000, 0.0000], [0.0000, 0.0000, 0.0000], [0.5000, 0.5000, 0.5000]]
}